Crystalline SrNd2S4 at its relaxed geometry. Source: the Alexandria database, functional PBE.

Cell: 11.7187 4.1808 14.7992 Å, 90.00 90.00 90.00°
With the nearest neighbours (Å) after each atom.
Space group Pnma (No. 62)
Asymmetric unit:
Sr: 0.2368 0.2500 0.1592 [4 per cell]  8 S 3.08-3.39
Nd: 0.0622 0.7500 0.3909 [4 per cell]  6 S 2.75-2.94
Nd: 0.1047 0.7500 0.8998 [4 per cell]  6 S 2.81-2.94
S: 0.0068 0.7500 0.7173 [4 per cell]  3 Nd 2.75-2.94
S: 0.0643 0.7500 0.0872 [4 per cell]  3 Nd 2.81-2.89, 2 Sr 3.10
S: 0.1532 0.2500 0.5109 [4 per cell]  3 Nd 2.91-2.94
S: 0.2262 0.2500 0.8088 [4 per cell]  3 Nd 2.76-2.87, 2 Sr 3.08

Uncorrected formation energy: -2.079 eV/atom
Magnetization: 0.000 μB/cell

=====

Crystalline SrNd2S3 at its relaxed geometry. Source: the Alexandria database, functional PBE.

Cell: 4.0998 5.8250 12.4634 Å, 90.00 90.00 90.00°
With the nearest neighbours (Å) after each atom.
Space group Immm (No. 71)
Asymmetric unit:
Sr: 0.0000 0.0000 0.0000 [2 per cell]  6 S 2.91-2.95
Nd: 0.0000 0.0000 0.3348 [4 per cell]  6 S 2.90-2.91
S: 0.0000 0.5000 0.0000 [2 per cell]  4 Nd 2.91, 2 Sr 2.91
S: 0.0000 0.5000 0.3300 [4 per cell]  4 Nd 2.90-2.91, 2 Sr 2.95

Uncorrected formation energy: -2.034 eV/atom
Magnetization: 0.000 μB/cell

=====

Crystalline SrNd3S4 at its relaxed geometry. Source: the Alexandria database, functional PBE.

Cell: 8.2718 11.6199 4.0869 Å, 90.00 90.00 90.00°
With the nearest neighbours (Å) after each atom.
Space group Cmmm (No. 65)
Asymmetric unit:
Sr: 0.0000 0.0000 0.0000 [2 per cell]  6 S 2.92-2.94
Nd: 0.0000 0.5000 0.0000 [2 per cell]  6 S 2.88-2.89
Nd: 0.2500 0.2500 0.5000 [4 per cell]  6 S 2.91
S: 0.0000 0.2516 0.0000 [4 per cell]  5 Nd 2.89-2.91, 1 Sr 2.92
S: 0.2451 0.5000 0.5000 [4 per cell]  4 Nd 2.88-2.91, 2 Sr 2.94

Uncorrected formation energy: -2.029 eV/atom
Magnetization: 0.000 μB/cell

=====

- The highest uncorrected formation energy belongs to which entry?
  SrNd3S4

=====

- Look up the uncorrected formation energy of the third one.
  -2.029 eV/atom

=====

Please write out number 2 again, unchanged.
Crystalline SrNd2S3 at its relaxed geometry. Source: the Alexandria database, functional PBE.

Cell: 4.0998 5.8250 12.4634 Å, 90.00 90.00 90.00°
With the nearest neighbours (Å) after each atom.
Space group Immm (No. 71)
Asymmetric unit:
Sr: 0.0000 0.0000 0.0000 [2 per cell]  6 S 2.91-2.95
Nd: 0.0000 0.0000 0.3348 [4 per cell]  6 S 2.90-2.91
S: 0.0000 0.5000 0.0000 [2 per cell]  4 Nd 2.91, 2 Sr 2.91
S: 0.0000 0.5000 0.3300 [4 per cell]  4 Nd 2.90-2.91, 2 Sr 2.95

Uncorrected formation energy: -2.034 eV/atom
Magnetization: 0.000 μB/cell